First-principles (PBE) data for crystalline TbAlZn2Pt4 at its relaxed geometry, as listed in Alexandria via LeMat-Bulk.

```
TbAlZn2Pt4
1.0
2.1841 1.2610 8.1785
-2.1841 1.2610 8.1785
0.0000 -2.5220 8.1785
Tb Al Zn Pt
1 1 2 4
direct
0.0000 0.0000 0.0000
0.5000 0.5000 0.5000
0.2476 0.2476 0.2476
0.7524 0.7524 0.7524
0.1326 0.1326 0.1326
0.3993 0.3993 0.3993
0.6007 0.6007 0.6007
0.8674 0.8674 0.8674
```

As for the raw total energy: -5.232 eV/atom. The calculation puts the size of the total moment at 0.00 μB per cell. The density of states at the Fermi level is 2.723 states/eV/cell. The energy of formation is -0.8461 eV per atom.

***

First-principles (PBE) data for crystalline LiAcTbY at its relaxed geometry, as listed in Alexandria via LeMat-Bulk.

```
LiAcTbY
1.0
0.0000 4.0421 4.0421
4.0421 0.0000 4.0421
4.0421 4.0421 0.0000
Li Ac Tb Y
1 1 1 1
direct
0.0000 0.0000 0.0000
0.5000 0.5000 0.5000
0.7500 0.7500 0.7500
0.2500 0.2500 0.2500
```

As for the raw total energy: -4.024 eV/atom. The calculation puts the size of the total moment at 0.00 μB per cell. The density of states at the Fermi level is 3.987 states/eV/cell. The energy of formation is 0.2552 eV per atom.

***

First-principles (PBE) data for crystalline PmHoPa at its relaxed geometry, as listed in Alexandria via LeMat-Bulk.

```
PmHoPa
1.0
-1.7038 1.7038 7.6903
1.7038 -1.7038 7.6903
1.7038 1.7038 -7.6903
Pm Ho Pa
1 1 1
direct
0.0000 0.0000 0.0000
0.3108 0.3108 0.0000
0.6578 0.6578 0.0000
```

As for the raw total energy: -6.109 eV/atom. The calculation puts the size of the total moment at 0.00 μB per cell. The value obtained for the relative energy among the computed polymorphs is 22 meV/atom. The density of states at the Fermi level is 4.940 states/eV/cell. The energy of formation is 0.1655 eV per atom.

***

First-principles (PBE) data for crystalline NaMn2Os at its relaxed geometry, as listed in Alexandria via LeMat-Bulk.

```
NaMn2Os
1.0
-3.5083 3.5083 2.7814
3.5083 -3.5083 2.7814
3.5083 3.5083 -2.7814
Na Mn Os
2 4 2
direct
0.0000 0.0000 0.0000
0.7500 0.2500 0.5000
0.1716 0.6250 0.0466
0.3750 0.4216 0.5466
0.5784 0.1250 0.9534
0.8750 0.8284 0.4534
0.2500 0.7500 0.5000
0.5000 0.5000 0.0000
```

As for the raw total energy: -6.636 eV/atom. The calculation puts the size of the total moment at 10.04 μB per cell. The value obtained for the relative energy among the computed polymorphs is 239 meV/atom. The density of states at the Fermi level is 10.439 states/eV/cell. The energy of formation is 1.0860 eV per atom.

***

First-principles (PBE) data for crystalline Na2Zn3GaGe4 at its relaxed geometry, as listed in Alexandria via LeMat-Bulk.

```
Na2Zn3GaGe4
1.0
4.2349 0.0000 0.0000
0.0000 4.2349 0.0000
0.0000 0.0000 11.1335
Na Zn Ga Ge
2 3 1 4
direct
0.0000 0.5000 0.2482
0.5000 0.0000 0.7518
0.0000 0.5000 0.8594
0.5000 0.0000 0.1406
0.5000 0.5000 0.5000
0.0000 0.0000 0.5000
0.0000 0.0000 0.0000
0.0000 0.5000 0.6374
0.5000 0.0000 0.3626
0.5000 0.5000 0.0000
```

As for the raw total energy: -2.875 eV/atom. The calculation puts the size of the total moment at 0.00 μB per cell. The density of states at the Fermi level is 2.492 states/eV/cell. The energy of formation is -0.0797 eV per atom.

***

First-principles (PBE) data for crystalline ScIrPt4 at its relaxed geometry, as listed in Alexandria via LeMat-Bulk.

```
ScIrPt4
1.0
0.0000 3.7015 3.7015
3.7015 0.0000 3.7015
3.7015 3.7015 0.0000
Sc Ir Pt
1 1 4
direct
0.0000 0.0000 0.0000
0.7500 0.7500 0.7500
0.3757 0.3757 0.3757
0.3757 0.3757 0.8729
0.3757 0.8729 0.3757
0.8729 0.3757 0.3757
```

As for the raw total energy: -6.863 eV/atom. The calculation puts the size of the total moment at 0.14 μB per cell. The density of states at the Fermi level is 6.415 states/eV/cell. The energy of formation is -0.3034 eV per atom.

***

First-principles (PBE) data for crystalline Cu5Pb3I12 at its relaxed geometry, as listed in Alexandria via LeMat-Bulk.

```
Cu5Pb3I12
1.0
-8.7904 8.7904 8.7904
8.7904 -8.7904 8.7904
8.7904 8.7904 -8.7904
Cu Pb I
20 12 48
direct
0.0000 0.0000 0.0000
0.0000 0.0000 0.5000
0.0000 0.5000 0.0000
0.0000 0.5000 0.5000
0.1250 0.7500 0.8750
0.1250 0.8750 0.2500
0.2500 0.1250 0.8750
0.2500 0.6250 0.3750
0.3750 0.2500 0.6250
0.3750 0.6250 0.7500
0.5000 0.0000 0.0000
0.5000 0.0000 0.5000
0.5000 0.5000 0.0000
0.5000 0.5000 0.5000
0.6250 0.3750 0.2500
0.6250 0.7500 0.3750
0.7500 0.3750 0.6250
0.7500 0.8750 0.1250
0.8750 0.1250 0.7500
0.8750 0.2500 0.1250
0.1250 0.2500 0.3750
0.1250 0.3750 0.7500
0.2500 0.3750 0.1250
0.2500 0.8750 0.6250
0.3750 0.1250 0.2500
0.3750 0.7500 0.1250
0.6250 0.2500 0.8750
0.6250 0.8750 0.7500
0.7500 0.1250 0.3750
0.7500 0.6250 0.8750
0.8750 0.6250 0.2500
0.8750 0.7500 0.6250
0.0245 0.2052 0.1182
0.0245 0.3194 0.9064
0.0870 0.7052 0.6806
0.0870 0.8818 0.4064
0.0936 0.6182 0.4130
0.0936 0.9755 0.6806
0.1182 0.0245 0.2052
0.1182 0.5936 0.9130
0.1806 0.2052 0.5870
0.1806 0.4755 0.5936
0.2052 0.1182 0.0245
0.2052 0.5870 0.1806
0.2948 0.3194 0.9130
0.2948 0.4755 0.3818
0.3194 0.9064 0.0245
0.3194 0.9130 0.2948
0.3818 0.2948 0.4755
0.3818 0.5870 0.9064
0.4064 0.0870 0.8818
0.4064 0.8194 0.5245
0.4130 0.0936 0.6182
0.4130 0.8194 0.7948
0.4755 0.3818 0.2948
0.4755 0.5936 0.1806
0.5245 0.4064 0.8194
0.5245 0.6182 0.7052
0.5870 0.1806 0.2052
0.5870 0.9064 0.3818
0.5936 0.1806 0.4755
0.5936 0.9130 0.1182
0.6182 0.4130 0.0936
0.6182 0.7052 0.5245
0.6806 0.0870 0.7052
0.6806 0.0936 0.9755
0.7052 0.5245 0.6182
0.7052 0.6806 0.0870
0.7948 0.4130 0.8194
0.7948 0.8818 0.9755
0.8194 0.5245 0.4064
0.8194 0.7948 0.4130
0.8818 0.4064 0.0870
0.8818 0.9755 0.7948
0.9064 0.0245 0.3194
0.9064 0.3818 0.5870
0.9130 0.1182 0.5936
0.9130 0.2948 0.3194
0.9755 0.6806 0.0936
0.9755 0.7948 0.8818
```

As for the raw total energy: -2.801 eV/atom. The calculation puts the size of the total moment at 0.00 μB per cell. The density of states at the Fermi level is 63.771 states/eV/cell. For the raw formation energy, the calculation gives -0.29 eV/atom.

***

First-principles (PBE) data for crystalline NaInHPd2 at its relaxed geometry, as listed in Alexandria via LeMat-Bulk.

```
NaInHPd2
1.0
4.1312 0.0000 0.0000
0.0000 4.1312 0.0000
0.0000 0.0000 4.2468
Na In H Pd
1 1 1 2
direct
0.0000 0.0000 0.0000
0.5000 0.5000 0.0000
0.0000 0.0000 0.5000
0.0000 0.5000 0.5000
0.5000 0.0000 0.5000
```

As for the raw total energy: -3.827 eV/atom. The calculation puts the size of the total moment at 0.00 μB per cell. The density of states at the Fermi level is 0.991 states/eV/cell.

***

First-principles (PBE) data for crystalline ScPOs2 at its relaxed geometry, as listed in Alexandria via LeMat-Bulk.

```
ScPOs2
1.0
4.0646 0.0000 0.0000
0.0000 1.4965 4.9334
0.0000 -1.4965 4.9334
Sc P Os
1 1 2
direct
0.0000 0.0000 0.0000
0.5000 0.3979 0.3979
0.0000 0.2638 0.2638
0.5000 0.6480 0.6480
```

As for the raw total energy: -8.826 eV/atom. The calculation puts the size of the total moment at 0.00 μB per cell. The density of states at the Fermi level is 2.259 states/eV/cell. The energy of formation is -0.2759 eV per atom.

***

Copy entry 8 word for word.
First-principles (PBE) data for crystalline NaInHPd2 at its relaxed geometry, as listed in Alexandria via LeMat-Bulk.

```
NaInHPd2
1.0
4.1312 0.0000 0.0000
0.0000 4.1312 0.0000
0.0000 0.0000 4.2468
Na In H Pd
1 1 1 2
direct
0.0000 0.0000 0.0000
0.5000 0.5000 0.0000
0.0000 0.0000 0.5000
0.0000 0.5000 0.5000
0.5000 0.0000 0.5000
```

As for the raw total energy: -3.827 eV/atom. The calculation puts the size of the total moment at 0.00 μB per cell. The density of states at the Fermi level is 0.991 states/eV/cell.

***

- The highest raw total energy belongs to which entry?
  Cu5Pb3I12